Entry 1:
The following is a GGA-PBEsol calculation of crystalline LaMg2Au at its relaxed geometry, from Alexandria.

The mass density is 7.0 Mg/m³.

The structure belongs to space group F-43m (No. 216); the cell edges are 7.158, 7.158 and 7.158 Å and the angles 90.00°, 90.00° and 90.00°. The distinct sites, in fractional coordinates, are La at (0.000, 0.000, 0.000), Mg at (0.000, 0.000, 0.500), Mg at (0.250, 0.250, 0.250) and Au at (0.250, 0.250, 0.750).



Entry 2:
The following is a GGA-PBEsol calculation of crystalline ReSb2PtC at its relaxed geometry, from Alexandria.

For the uncorrected formation energy, the calculation gives 1242 meV per atom. The mass density is 12.4 Mg/m³.

The structure belongs to space group P4/mmm (No. 123); the cell edges are 4.636, 4.636 and 3.959 Å and the angles 90.00°, 90.00° and 90.00°. The distinct sites, in fractional coordinates, are Re at (0.000, 0.000, 0.000), Sb at (0.000, 0.500, 0.500), Pt at (0.500, 0.500, 0.000) and C at (0.500, 0.500, 0.500).



Entry 3:
The following is a GGA-PBEsol calculation of crystalline HgHN3 at its relaxed geometry, from Alexandria.

The mass density is 9.2 Mg/m³.

The structure belongs to space group Pm-3m (No. 221); the cell edges are 3.534, 3.534 and 3.534 Å and the angles 90.00°, 90.00° and 90.00°. The distinct sites, in fractional coordinates, are Hg at (0.000, 0.000, 0.000), H at (0.500, 0.500, 0.500) and N at (0.000, 0.500, 0.500).



Entry 4:
The following is a GGA-PBEsol calculation of crystalline Sc2ReMo at its relaxed geometry, from Alexandria.

For the energy above the most stable polymorph in this dataset, the calculation gives 0.054 eV/atom. The mass density is 8.6 Mg/m³.

The structure belongs to space group Imm2 (No. 44); the cell edges are 3.232, 4.682 and 9.469 Å and the angles 90.00°, 90.00° and 90.00°. The distinct sites, in fractional coordinates, are Sc at (0.000, 0.000, 0.000), Sc at (0.000, 0.500, 0.224), Re at (0.000, 0.000, 0.469) and Mo at (0.000, 0.500, 0.770).



Total DFT energy (no corrections) / eV/atom: -3.602, -6.569, -3.334, -9.602